4
Lattice="0.0000 3.3505 3.3505 3.3505 0.0000 3.3505 3.3505 3.3505 0.0000" Properties=species:S:1:pos:R:3 comment="PmSbOsRu (PBE, optimized geometry)" e_form_raw_mev_per_atom=-10 e_tot_ev_per_cell=-29.418 pbc="T T T"
Pm 0.0000 0.0000 0.0000
Sb 3.3505 3.3505 3.3505
Os 1.6752 1.6752 1.6752
Ru 5.0257 5.0257 5.0257